Rb2TlCuBr6 | GGA-PBEsol | optimized geometry

Energy relative to the elements, uncorrected ... -932 kJ/mol of formula units
N(E_F) ... 0.3135 states/eV per atom

The structure in CIF format:
```
data_Rb2TlCuBr6
_symmetry_space_group_name_H-M 'F m -3 m'
_symmetry_Int_Tables_number 225
_symmetry_space_group_name_Hall '-F 4 2 3'
_cell_length_a 10.7144
_cell_length_b 10.7144
_cell_length_c 10.7144
_cell_angle_alpha 90.00
_cell_angle_beta 90.00
_cell_angle_gamma 90.00
loop_
_atom_site_label
_atom_site_type_symbol
_atom_site_fract_x
_atom_site_fract_y
_atom_site_fract_z
Rb1 Rb 0.2500 0.2500 0.2500
Tl1 Tl 0.0000 0.0000 0.0000
Cu1 Cu 0.0000 0.0000 0.5000
Br1 Br 0.0000 0.0000 0.2635
```

---

Cd2TcCl | GGA-PBEsol | optimized geometry

Energy relative to the elements, uncorrected ... 38 kJ/mol of formula units
N(E_F) ... 0.5880 states/eV per atom

The structure in CIF format:
```
data_Cd2TcCl
_symmetry_space_group_name_H-M 'R 3 m'
_symmetry_Int_Tables_number 160
_symmetry_space_group_name_Hall 'R 3 -2"'
_cell_length_a 2.9512
_cell_length_b 2.9512
_cell_length_c 30.0691
_cell_angle_alpha 90.00
_cell_angle_beta 90.00
_cell_angle_gamma 120.00
loop_
_atom_site_label
_atom_site_type_symbol
_atom_site_fract_x
_atom_site_fract_y
_atom_site_fract_z
Cd1 Cd 0.0000 0.0000 0.0000
Cd2 Cd 0.0000 0.0000 0.2410
Tc1 Tc 0.0000 0.0000 0.7434
Cl1 Cl 0.0000 0.0000 0.4652
```

---

YMnBe2 | GGA-PBEsol | optimized geometry

N(E_F) ... 1.0099 states/eV per atom
Energy of formation from the pure elements ... 0.141 eV per atom

The structure in CIF format:
```
data_YMnBe2
_symmetry_space_group_name_H-M 'P 4/m m m'
_symmetry_Int_Tables_number 123
_symmetry_space_group_name_Hall '-P 4 2'
_cell_length_a 2.9691
_cell_length_b 2.9691
_cell_length_c 6.0356
_cell_angle_alpha 90.00
_cell_angle_beta 90.00
_cell_angle_gamma 90.00
loop_
_atom_site_label
_atom_site_type_symbol
_atom_site_fract_x
_atom_site_fract_y
_atom_site_fract_z
Y1 Y 0.0000 0.0000 0.0000
Mn1 Mn 0.0000 0.0000 0.5000
Be1 Be 0.5000 0.5000 0.3289
```

---

TaBr2F | GGA-PBEsol | optimized geometry

Energy relative to the elements, uncorrected ... -26 kJ/mol of formula units
N(E_F) ... 1.0824 states/eV per atom

The structure in CIF format:
```
data_TaBr2F
_symmetry_space_group_name_H-M 'R -3 m'
_symmetry_Int_Tables_number 166
_symmetry_space_group_name_Hall '-R 3 2"'
_cell_length_a 3.3997
_cell_length_b 3.3997
_cell_length_c 24.9880
_cell_angle_alpha 90.00
_cell_angle_beta 90.00
_cell_angle_gamma 120.00
loop_
_atom_site_label
_atom_site_type_symbol
_atom_site_fract_x
_atom_site_fract_y
_atom_site_fract_z
Ta1 Ta 0.0000 0.0000 0.0000
Br1 Br 0.0000 0.0000 0.0941
F1 F 0.0000 0.0000 0.5000
```